Below is a relaxed structure of PmSmDy2Y, with properties calculated at the PBE level. Values from VASP.

Values from the calculation:
The calculation puts the calculated volume at 34.9 Å³ per atom. The calculation puts the energy of formation from the pure elements at 389 meV per atom. The space-group type is No. 63. The calculation puts the size of the total moment at 0.0 μB per cell.

```
&SYSTEM
  ibrav = 0, nat = 10, ntyp = 4
/
ATOMIC_SPECIES
Pm 145.00 Pm.upf
Y 88.91 Y.upf
Sm 150.36 Sm.upf
Dy 162.50 Dy.upf
ATOMIC_POSITIONS angstrom
Pm 5.972 -2.453 -3.275
Pm -0.994 -5.163 -1.184
Y 2.560 -2.517 0.221
Y 2.418 -5.099 -4.681
Sm 3.069 -1.653 -3.893
Sm 1.908 -5.963 -0.566
Dy 0.655 0.447 -2.496
Dy 1.443 0.984 -5.503
Dy -0.112 -2.967 -3.308
Dy 0.676 -2.429 -6.314
CELL_PARAMETERS angstrom
-1.534 -6.827 -1.623
2.097 1.431 -7.999
4.414 -2.220 5.163
```

=====

Below is a relaxed structure of Pm2Sm5DyY, with properties calculated at the PBE level. Values from VASP.

Values from the calculation:
The calculation puts the calculated volume at 33.9 Å³ per atom. The calculation puts the energy of formation from the pure elements at 277 meV per atom. The space-group type is No. 140. The calculation puts the size of the total moment at 0.0 μB per cell.

```
&SYSTEM
  ibrav = 0, nat = 18, ntyp = 4
/
ATOMIC_SPECIES
Y 88.91 Y.upf
Sm 150.36 Sm.upf
Dy 162.50 Dy.upf
Pm 145.00 Pm.upf
ATOMIC_POSITIONS angstrom
Y 1.263 -5.724 0.943
Y -4.335 -3.968 -0.840
Sm -2.883 -1.961 5.600
Sm -3.488 -5.016 -4.530
Sm 0.416 -4.676 4.634
Sm -0.190 -7.732 -5.496
Sm 0.000 0.000 0.000
Sm 2.077 -6.194 -2.077
Sm 0.224 -4.000 -4.642
Sm -1.851 -6.213 1.215
Sm -5.150 -3.498 2.181
Sm -1.221 -3.479 -1.111
Dy -1.424 -6.846 -2.269
Dy -1.648 -2.846 2.373
Pm -1.127 -5.541 -7.429
Pm 1.575 -2.459 -1.855
Pm -2.633 -2.077 -4.320
Pm 3.082 -5.923 -4.964
CELL_PARAMETERS angstrom
-5.373 -2.244 -6.425
5.822 -5.755 -2.859
-3.521 -1.693 9.387
```

=====

Below is a relaxed structure of PmSm6DyY2, with properties calculated at the PBE level. Values from VASP.

Values from the calculation:
The calculation puts the calculated volume at 33.8 Å³ per atom. The calculation puts the energy of formation from the pure elements at 122 meV per atom. The space-group type is No. 15. The calculation puts the size of the total moment at 0.0 μB per cell.

```
&SYSTEM
  ibrav = 0, nat = 20, ntyp = 4
/
ATOMIC_SPECIES
Sm 150.36 Sm.upf
Pm 145.00 Pm.upf
Y 88.91 Y.upf
Dy 162.50 Dy.upf
ATOMIC_POSITIONS angstrom
Sm -9.286 -1.155 4.689
Sm -6.287 -2.203 4.052
Sm -5.294 -9.311 2.731
Sm -7.908 -0.129 1.175
Sm 0.550 -4.706 2.089
Sm -0.828 -5.732 5.603
Sm -2.125 -7.277 2.498
Sm -2.449 -3.657 2.726
Sm -6.611 1.417 4.279
Sm -8.197 -3.323 1.636
Sm -0.539 -2.538 5.142
Sm -3.442 3.450 4.047
Pm -3.148 -0.508 4.041
Pm -5.588 -5.352 2.737
Y -0.172 -1.080 2.125
Y -3.812 -3.557 5.807
Y -8.564 -4.781 4.652
Y -4.924 -2.304 0.971
Dy 1.462 -7.725 3.742
Dy -10.198 1.865 3.036
CELL_PARAMETERS angstrom
-7.906 -4.950 -2.413
3.683 -6.870 4.329
-4.512 5.960 4.861
```

=====

Below is a relaxed structure of PmSm5Dy2Y, with properties calculated at the PBE level. Values from VASP.

Values from the calculation:
The calculation puts the calculated volume at 34.1 Å³ per atom. The calculation puts the energy of formation from the pure elements at 152 meV per atom. The space-group type is No. 36. The calculation puts the size of the total moment at 0.0 μB per cell.

```
&SYSTEM
  ibrav = 0, nat = 18, ntyp = 4
/
ATOMIC_SPECIES
Y 88.91 Y.upf
Pm 145.00 Pm.upf
Dy 162.50 Dy.upf
Sm 150.36 Sm.upf
ATOMIC_POSITIONS angstrom
Y 8.060 6.521 2.749
Y 5.639 -0.358 7.839
Pm 0.761 -1.229 3.823
Pm 4.556 2.968 6.720
Dy 3.371 0.844 2.209
Dy 7.299 2.948 2.155
Dy 7.726 3.947 8.365
Dy 2.255 1.027 8.410
Sm 5.265 1.843 10.236
Sm 8.552 0.622 9.158
Sm 1.100 3.405 1.408
Sm 4.064 4.256 3.094
Sm 1.364 2.078 4.843
Sm 7.108 4.956 5.232
Sm 7.634 1.604 5.719
Sm 1.517 -2.377 7.451
Sm 3.831 -0.250 5.341
Sm 0.262 0.007 0.308
CELL_PARAMETERS angstrom
-2.480 4.679 1.998
2.877 -5.536 8.520
9.424 4.973 0.049
```

=====

Below is a relaxed structure of Pm3Sm6Dy2Y, with properties calculated at the PBE level. Values from VASP.

Values from the calculation:
The calculation puts the calculated volume at 33.4 Å³ per atom. The calculation puts the energy of formation from the pure elements at 14 meV per atom. The space-group type is No. 12. The calculation puts the size of the total moment at 0.0 μB per cell.

```
&SYSTEM
  ibrav = 0, nat = 12, ntyp = 4
/
ATOMIC_SPECIES
Sm 150.36 Sm.upf
Pm 145.00 Pm.upf
Dy 162.50 Dy.upf
Y 88.91 Y.upf
ATOMIC_POSITIONS angstrom
Sm -0.008 -0.014 8.877
Sm -0.014 3.601 8.887
Sm 2.093 -0.002 2.917
Sm 2.086 3.613 2.927
Sm 3.126 1.787 8.887
Sm -1.048 1.812 2.917
Pm -2.093 3.608 5.902
Pm 4.171 -0.009 5.902
Pm 1.039 1.799 5.902
Dy 0.001 3.619 0.007
Dy 3.134 1.810 0.007
Y 0.000 0.000 0.000
CELL_PARAMETERS angstrom
6.267 0.000 0.007
-3.132 5.428 0.007
-1.056 -1.829 11.789
```

=====

Below is a relaxed structure of PmSmDyY2, with properties calculated at the PBE level. Values from VASP.

Values from the calculation:
The calculation puts the calculated volume at 35.1 Å³ per atom. The calculation puts the energy of formation from the pure elements at 397 meV per atom. The space-group type is No. 63. The calculation puts the size of the total moment at 0.0 μB per cell.

```
&SYSTEM
  ibrav = 0, nat = 10, ntyp = 4
/
ATOMIC_SPECIES
Y 88.91 Y.upf
Pm 145.00 Pm.upf
Sm 150.36 Sm.upf
Dy 162.50 Dy.upf
ATOMIC_POSITIONS angstrom
Y 3.597 5.823 0.000
Y 0.000 5.823 0.000
Y 3.597 2.645 0.000
Y 0.000 2.645 0.000
Pm 1.799 4.234 5.733
Pm 5.396 0.000 0.032
Sm 5.396 0.000 3.132
Sm 1.799 4.234 2.632
Dy 5.396 4.234 2.603
Dy 1.799 0.000 3.162
CELL_PARAMETERS angstrom
7.194 0.000 0.000
0.000 8.468 0.000
0.000 -4.234 5.765
```